1.
TaHgAs (PBE, relaxed); E_tot = -5.056 eV per atom; magnetization = 1.610 μB/f.u.; energy relative to the elements = 0.55 eV/atom; excess energy over the best structure of this formula in the dataset = 0.436 eV per atom
1.0
4.579 0.000 0.000
2.290 3.966 0.000
2.290 1.322 3.739
As Hg Ta
1 1 1
Cartesian
0.000 0.000 0.000
4.579 2.644 1.870
6.869 3.966 2.804

---

2.
Ta2TlHgAs (PBE, relaxed); E_tot = -4.334 eV per atom; magnetization = 0.000 μB/f.u.; energy relative to the elements = 1.87 eV/atom
1.0
5.181 0.000 0.000
0.000 5.051 0.000
0.000 0.000 5.181
As Tl Hg Ta
1 1 1 2
Cartesian
0.000 2.525 0.000
2.591 2.525 2.591
0.000 0.000 0.000
0.000 0.000 2.591
2.591 0.000 0.000

---

3.
TaTl2HgAs (PBE, relaxed); E_tot = -2.954 eV per atom; magnetization = 3.483 μB/f.u.; energy relative to the elements = 1.35 eV/atom
1.0
5.432 0.000 0.000
0.000 5.220 0.000
0.000 0.000 5.432
As Tl Hg Ta
1 2 1 1
Cartesian
0.000 0.000 0.000
0.000 0.000 2.716
2.716 0.000 0.000
0.000 2.610 0.000
2.716 2.610 2.716

---

4.
YTaHgAs2 (PBE, relaxed); E_tot = -4.532 eV per atom; magnetization = 1.030 μB/f.u.; energy relative to the elements = 1.05 eV/atom
1.0
-0.076 -3.139 -4.085
4.875 -1.404 0.988
-1.710 -3.839 2.982
Y As Hg Ta
1 2 1 1
Cartesian
1.545 -4.191 -0.058
-0.855 -1.919 1.491
-0.038 -1.570 -2.043
0.000 0.000 0.000
2.437 -0.702 0.494

---

5.
Tb8HgTe4As3 (PBE, relaxed); E_tot = -5.326 eV per atom; magnetization = 0.000 μB/f.u.; formation energy (no corrections) = -1.335 eV per atom
1.0
8.522 0.000 0.000
0.000 8.616 0.060
-4.261 -4.257 6.029
Tb Hg Te As
8 1 4 3
Cartesian
-2.095 2.084 5.964
0.000 4.177 2.999
0.000 0.212 3.162
2.095 2.084 5.964
2.166 2.275 0.125
4.261 4.147 2.928
4.261 0.181 3.090
6.357 2.275 0.125
0.000 4.308 0.030
4.261 0.000 0.000
2.131 -2.129 3.015
0.000 0.000 0.000
-2.131 -2.129 3.015
4.261 4.308 0.030
2.131 2.179 3.045
-2.131 2.179 3.045

---

6.
Tb4HgTe2As (PBE, relaxed); E_tot = -4.882 eV per atom; magnetization = 0.000 μB/f.u.; formation energy (no corrections) = -1.162 eV per atom
1.0
-0.456 -0.134 4.177
-6.204 -4.132 -0.810
1.984 -7.307 -0.017
Tb Hg Te As
4 1 2 1
Cartesian
-3.075 -8.498 -0.608
-1.602 -3.075 3.958
-4.202 -5.013 1.497
-0.475 -6.560 1.854
-3.330 -2.133 1.684
1.984 -7.307 -0.017
0.764 -3.721 2.080
-2.110 -5.720 -0.413

---

7.
TcHgAs2 (PBE, relaxed); E_tot = -4.767 eV per atom; magnetization = 0.600 μB/f.u.; energy relative to the elements = 0.22 eV/atom
1.0
6.327 -0.010 0.000
3.734 5.108 0.000
-4.428 -3.738 2.540
As Hg Tc
2 1 1
Cartesian
0.694 0.352 0.000
4.337 2.197 0.000
3.465 -0.600 1.270
2.168 1.959 1.270

---

8.
TcHgAs2 (PBE, relaxed); E_tot = -4.680 eV per atom; magnetization = 0.000 μB/f.u.; energy relative to the elements = 0.31 eV/atom
1.0
-3.402 1.274 -2.804
0.704 -2.712 -2.086
-2.660 -4.009 1.405
As Hg Tc
2 1 1
Cartesian
0.548 -2.228 -1.677
-1.989 -0.659 -1.642
-1.103 -3.675 -0.332
-3.088 -4.957 -2.260

---

9.
TcHgAs2 (PBE, relaxed); E_tot = -5.070 eV per atom; magnetization = 0.000 μB/f.u.; energy relative to the elements = -0.08 eV/atom
1.0
-0.501 -2.758 -1.261
1.743 0.769 -2.375
7.229 -3.222 4.173
As Hg Tc
2 1 1
Cartesian
7.059 -2.765 3.243
4.656 -1.683 1.830
1.992 -1.992 -0.181
6.478 -3.218 0.718

---

10.
TcHg3As (PBE, relaxed); E_tot = -2.013 eV per atom; magnetization = 4.402 μB/f.u.; energy relative to the elements = 1.17 eV/atom; excess energy over the best structure of this formula in the dataset = 0.104 eV per atom
1.0
5.265 0.000 0.000
0.000 5.265 0.000
0.000 0.000 5.265
As Hg Tc
1 3 1
Cartesian
0.000 0.000 0.000
0.000 2.632 0.000
0.000 0.000 2.632
2.632 0.000 0.000
2.632 2.632 2.632

---

11.
TcHgAs2 (PBE, relaxed); E_tot = -4.734 eV per atom; magnetization = 0.000 μB/f.u.; energy relative to the elements = 0.26 eV/atom
1.0
3.230 0.000 0.000
0.000 3.230 0.000
0.000 0.000 7.469
As Hg Tc
2 1 1
Cartesian
0.000 0.000 7.172
1.615 1.615 1.340
0.000 0.000 4.043
1.615 1.615 6.118

---

12.
TcHgAs2 (PBE, relaxed); E_tot = -4.324 eV per atom; magnetization = 0.712 μB/f.u.; energy relative to the elements = 0.67 eV/atom
1.0
3.392 0.000 0.000
0.000 4.734 0.000
0.000 0.000 4.536
As Hg Tc
2 1 1
Cartesian
0.000 0.000 0.000
1.696 2.367 0.000
1.696 0.000 2.268
0.000 2.367 2.268